Run i
A geometry-optimized MnZnRe2O structure. Source: Alexandria, functional PBE with a Hubbard U.

Symmetry: No. 123

abc: 4.6453 3.4087 4.6453
angles: 90.00 90.00 90.00
With the nearest neighbours (Å) after each atom.
Fractional coordinates of all 5 atoms:
Re  0.0000  0.0000  0.5000  2 Mn 2.32
Re  0.5000  0.0000  0.0000  2 Mn 2.32
Zn  0.5000  0.5000  0.5000  8 Re 2.88
Mn  0.0000  0.0000  0.0000  2 O 1.70
O  0.0000  0.5000  0.0000  2 Mn 1.70

=====

Run ii
A geometry-optimized MnZnRe2O structure. Source: Alexandria, functional PBE with a Hubbard U.

Symmetry: No. 123

abc: 4.4439 4.5597 4.4439
angles: 90.00 90.00 90.00
With the nearest neighbours (Å) after each atom.
Fractional coordinates of all 5 atoms:
Re  0.0000  0.0000  0.5000  2 Mn 2.22
Re  0.5000  0.0000  0.0000  2 Mn 2.22
Zn  0.0000  0.5000  0.0000  2 Mn 2.28
Mn  0.0000  0.0000  0.0000  4 Re 2.22, 2 Zn 2.28
O  0.5000  0.5000  0.5000  4 Zn 3.14, 8 Re 3.18

=====

Energies relative to the minimum, eV/atom: run i 0.000; run ii 0.836

=====

Run i
A geometry-optimized MnRh2O6 structure. Source: Alexandria, functional PBE with a Hubbard U.

Symmetry: No. 136

abc: 4.5401 4.5401 9.3118
angles: 90.00 90.00 90.00
With the nearest neighbours (Å) after each atom.
Fractional coordinates of all 18 atoms:
Mn  0.5000  0.5000  0.0000  6 O 1.95-1.98
Mn  0.0000  0.0000  0.5000  6 O 1.95-1.98
Rh  0.5000  0.5000  0.3324  6 O 1.96-2.01
Rh  0.5000  0.5000  0.6676  6 O 1.96-2.01
Rh  0.0000  0.0000  0.1676  6 O 1.96-2.01
Rh  0.0000  0.0000  0.8324  6 O 1.96-2.01
O  0.6945  0.6945  0.1653  2 Rh 1.96-1.99, 1 Mn 1.98
O  0.6945  0.6945  0.8347  2 Rh 1.96-1.99, 1 Mn 1.98
O  0.6968  0.6968  0.5000  1 Mn 1.95, 2 Rh 2.01
O  0.8032  0.1968  0.0000  1 Mn 1.95, 2 Rh 2.01
O  0.8055  0.1945  0.3347  2 Rh 1.96-1.99, 1 Mn 1.98
O  0.8055  0.1945  0.6653  2 Rh 1.96-1.99, 1 Mn 1.98
O  0.1945  0.8055  0.3347  2 Rh 1.96-1.99, 1 Mn 1.98
O  0.1945  0.8055  0.6653  2 Rh 1.96-1.99, 1 Mn 1.98
O  0.1968  0.8032  0.0000  1 Mn 1.95, 2 Rh 2.01
O  0.3032  0.3032  0.5000  1 Mn 1.95, 2 Rh 2.01
O  0.3055  0.3055  0.1653  2 Rh 1.96-1.99, 1 Mn 1.98
O  0.3055  0.3055  0.8347  2 Rh 1.96-1.99, 1 Mn 1.98

=====

Run ii
A geometry-optimized MnRh2O6 structure. Source: Alexandria, functional PBE with a Hubbard U.

Symmetry: No. 162

abc: 4.8348 5.2739 5.2739
angles: 120.00 90.00 90.00
With the nearest neighbours (Å) after each atom.
Fractional coordinates of all 9 atoms:
Mn  0.5000  0.0000  0.0000  6 O 1.99
Rh  0.5000  0.6667  0.3333  6 O 2.02
Rh  0.5000  0.3333  0.6667  6 O 2.02
O  0.3002  0.6711  0.6711  1 Mn 1.99, 2 Rh 2.02
O  0.3002  0.0000  0.3289  1 Mn 1.99, 2 Rh 2.02
O  0.3002  0.3289  0.0000  1 Mn 1.99, 2 Rh 2.02
O  0.6998  0.3289  0.3289  1 Mn 1.99, 2 Rh 2.02
O  0.6998  0.0000  0.6711  1 Mn 1.99, 2 Rh 2.02
O  0.6998  0.6711  0.0000  1 Mn 1.99, 2 Rh 2.02

=====

Energies relative to the minimum, eV/atom: run i 0.000; run ii 0.108

=====

Run i
A geometry-optimized Mn3RhO structure. Source: Alexandria, functional PBE with a Hubbard U.

Symmetry: No. 221

abc: 4.2281 4.2281 4.2281
angles: 90.00 90.00 90.00
With the nearest neighbours (Å) after each atom.
Fractional coordinates of all 5 atoms:
Mn  0.0000  0.5000  0.0000  2 O 2.11
Mn  0.0000  0.0000  0.5000  2 O 2.11
Mn  0.5000  0.0000  0.0000  2 O 2.11
Rh  0.5000  0.5000  0.5000  12 Mn 2.99
O  0.0000  0.0000  0.0000  6 Mn 2.11

=====

Run ii
A geometry-optimized Mn3RhO structure. Source: Alexandria, functional PBE with a Hubbard U.

Symmetry: No. 221

abc: 4.8854 4.8854 4.8854
angles: 90.00 90.00 90.00
With the nearest neighbours (Å) after each atom.
Fractional coordinates of all 5 atoms:
Mn  0.0000  0.5000  0.0000  2 Rh 2.44
Mn  0.0000  0.0000  0.5000  2 Rh 2.44
Mn  0.5000  0.0000  0.0000  2 Rh 2.44
Rh  0.0000  0.0000  0.0000  6 Mn 2.44
O  0.5000  0.5000  0.5000  12 Mn 3.45

=====

Energies relative to the minimum, eV/atom: run i 0.000; run ii 1.205